(1)
Density functional theory data (PBE-GGA) for a relaxed Ca2TeRh crystal.

The structure belongs to space group R3m (No. 160, hexagonal axes); the cell edges are 4.4757, 4.4757 and 21.8397 Å and the angles 90.00°, 90.00° and 120.00°. Symmetry generates all atoms from Ca at (0.0000, 0.0000, 0.0000), Ca at (0.0000, 0.0000, 0.1751), Te at (0.0000, 0.0000, 0.4175) and Rh at (0.0000, 0.0000, 0.7603).

As for the uncorrected formation energy: -0.662 eV/atom. Its volume is 31.57 Å³ per atom. As for the spin magnetization: 0.0 Bohr magnetons per cell.

=====

(2)
Density functional theory data (PBE-GGA) for a relaxed LiYMgCo crystal.

The structure belongs to space group F-43m (No. 216); the cell edges are 6.6451, 6.6451 and 6.6451 Å and the angles 90.00°, 90.00° and 90.00°. Symmetry generates all atoms from Li at (0.0000, 0.0000, 0.0000), Y at (0.2500, 0.2500, 0.7500), Mg at (0.2500, 0.2500, 0.2500) and Co at (0.0000, 0.0000, 0.5000).

For the formation energy, the calculation gives 0.01 eV per atom. Its volume is 18.34 Å³ per atom. As for the spin magnetization: 0.0 Bohr magnetons per cell.